1.
! CaSmErSc | Alexandria via LeMat-Bulk | PBE | optimized geometry; values from VASP
&SYSTEM
  ibrav = 0, nat = 4, ntyp = 4
/
ATOMIC_SPECIES
Sm 150.36 Sm.upf
Ca 40.08 Ca.upf
Sc 44.96 Sc.upf
Er 167.26 Er.upf
ATOMIC_POSITIONS angstrom
Sm 8.4350 4.8699 3.4436
Ca 5.6233 3.2466 2.2957
Sc 0.0000 0.0000 0.0000
Er 2.8117 1.6233 1.1479
CELL_PARAMETERS angstrom
5.6233 0.0000 0.0000
2.8117 4.8699 0.0000
2.8117 1.6233 4.5914
! magnetization: 0.0 μB per cell
! total DFT energy (no corrections): -4.239 eV per atom
! V: 31.43 Å³ per atom
! energy relative to the elements: 0.165 eV per atom
! density: 5.32 g/cm³

---

2.
! Ca3Er2ScTe6 | Alexandria via LeMat-Bulk | PBE | optimized geometry; values from VASP
&SYSTEM
  ibrav = 0, nat = 12, ntyp = 4
/
ATOMIC_SPECIES
Ca 40.08 Ca.upf
Er 167.26 Er.upf
Te 127.60 Te.upf
Sc 44.96 Sc.upf
ATOMIC_POSITIONS angstrom
Ca 0.7821 -3.8437 -2.9656
Er -5.3288 -5.0904 -2.7934
Te -2.3115 -4.4016 -2.8651
Te -5.5594 -3.3743 -0.2510
Te -8.3019 -5.7627 -2.7216
Te -4.7849 -7.5509 -1.0616
Te 0.4309 -2.0132 -0.3945
Er -2.5422 -2.6855 -0.3227
Sc -0.1394 0.3885 -2.1353
Ca -1.6791 -6.9528 -1.1555
Te -3.0861 -0.2250 -2.0545
Ca -6.1918 -0.8231 -1.9605
CELL_PARAMETERS angstrom
-0.2789 0.7771 -4.2705
1.8431 -8.4644 -1.6606
-9.4352 -0.0885 2.8151
! magnetization: 0.0 μB per cell
! total DFT energy (no corrections): -4.757 eV per atom
! V: 29.72 Å³ per atom
! density: 5.89 g/cm³
! E_form (uncorrected): -32.22 kcal/mol of atoms

---

3.
! CaEr2ScTe4 | Alexandria via LeMat-Bulk | PBE | optimized geometry; values from VASP
&SYSTEM
  ibrav = 0, nat = 8, ntyp = 4
/
ATOMIC_SPECIES
Er 167.26 Er.upf
Te 127.60 Te.upf
Sc 44.96 Sc.upf
Ca 40.08 Ca.upf
ATOMIC_POSITIONS angstrom
Er -0.0015 3.0525 3.0592
Te 3.0509 3.0544 3.0706
Te 0.0000 0.0003 3.0493
Te 3.0524 0.0017 0.0445
Te 3.0524 0.0022 6.0746
Er 0.0000 -0.0001 0.0005
Sc 3.0524 0.0018 3.0599
Ca 0.0000 0.0007 6.1190
CELL_PARAMETERS angstrom
6.1048 0.0032 0.0000
-0.0030 6.1048 0.0006
-3.0509 -3.0534 6.1190
! magnetization: 0.0 μB per cell
! total DFT energy (no corrections): -5.025 eV per atom
! V: 28.51 Å³ per atom
! density: 6.77 g/cm³
! E_form (uncorrected): -29.32 kcal/mol of atoms

---

4.
! CaEr3Se4 | Alexandria via LeMat-Bulk | PBE | optimized geometry; values from VASP
&SYSTEM
  ibrav = 0, nat = 8, ntyp = 3
/
ATOMIC_SPECIES
Se 78.96 Se.upf
Er 167.26 Er.upf
Ca 40.08 Ca.upf
ATOMIC_POSITIONS angstrom
Se 1.0454 1.2780 2.3610
Se 4.7144 2.5582 3.5589
Er 3.6691 1.2803 1.1980
Ca 0.0000 0.0000 0.0000
Er 0.5276 3.8499 1.1980
Se 3.1512 3.8523 0.0351
Se 2.6086 -0.0161 5.8848
Er 2.1059 2.5743 -2.3259
CELL_PARAMETERS angstrom
5.2473 0.0046 -2.3260
-1.0356 5.1440 -2.3258
-0.0150 -0.0184 7.0478
! magnetization: 0.0 μB per cell
! total DFT energy (no corrections): -5.472 eV per atom
! V: 23.73 Å³ per atom
! density: 7.50 g/cm³
! E_form (uncorrected): -40.78 kcal/mol of atoms

---

5.
! CaEr2Se | Alexandria via LeMat-Bulk | PBE | optimized geometry; values from VASP
&SYSTEM
  ibrav = 0, nat = 4, ntyp = 3
/
ATOMIC_SPECIES
Er 167.26 Er.upf
Se 78.96 Se.upf
Ca 40.08 Ca.upf
ATOMIC_POSITIONS angstrom
Er -6.3335 -2.0736 2.9029
Se -6.4873 0.4878 1.7962
Er -6.6412 3.0491 0.6895
Ca 0.0000 0.0000 0.0000
CELL_PARAMETERS angstrom
-1.5987 3.1743 1.2053
-2.6217 1.6905 -2.0865
-8.7542 -3.8892 4.4736
! magnetization: 0.0 μB per cell
! total DFT energy (no corrections): -4.249 eV per atom
! V: 31.56 Å³ per atom
! density: 5.97 g/cm³
! E_form (uncorrected): -13.75 kcal/mol of atoms

---

6.
! CaEr5Se6 | Alexandria via LeMat-Bulk | PBE | optimized geometry; values from VASP
&SYSTEM
  ibrav = 0, nat = 12, ntyp = 3
/
ATOMIC_SPECIES
Er 167.26 Er.upf
Se 78.96 Se.upf
Ca 40.08 Ca.upf
ATOMIC_POSITIONS angstrom
Er 1.2141 3.9536 6.9482
Er 4.3351 3.0132 2.2367
Er 4.9442 4.9979 5.6963
Er 0.6044 1.9667 3.4927
Se 5.9951 2.6167 6.8887
Se 2.1608 1.5229 1.1263
Se 2.7905 3.4620 4.6044
Se 5.3861 0.6324 3.4285
Ca 0.0000 0.0000 0.0000
Se 6.5094 4.5035 3.3472
Se 3.3994 5.4463 8.0646
Er 3.8414 1.0808 5.7967
CELL_PARAMETERS angstrom
6.9671 0.1584 1.0522
1.7032 5.8680 3.4213
0.1153 0.0523 7.0196
! magnetization: 0.0 μB per cell
! total DFT energy (no corrections): -5.550 eV per atom
! V: 23.61 Å³ per atom
! density: 7.91 g/cm³
! E_form (uncorrected): -40.13 kcal/mol of atoms

---

7.
! CaEr4Se5 | Alexandria via LeMat-Bulk | PBE | optimized geometry; values from VASP
&SYSTEM
  ibrav = 0, nat = 10, ntyp = 3
/
ATOMIC_SPECIES
Se 78.96 Se.upf
Er 167.26 Er.upf
Ca 40.08 Ca.upf
ATOMIC_POSITIONS angstrom
Se -4.9972 -1.6078 3.7224
Er -4.5795 -3.7500 5.5881
Se -5.4635 -5.5865 3.5879
Ca -0.0079 0.0008 0.0027
Se -3.1679 -3.7433 0.8288
Se -7.2928 -3.4510 6.4815
Er -8.1731 -5.3415 4.5078
Se -2.7088 0.2859 0.9345
Er -5.8810 -3.4442 1.7221
Er -2.2873 -1.8528 2.8024
CELL_PARAMETERS angstrom
-5.4027 0.5702 1.8639
-4.0541 -5.6237 -1.1815
-0.9937 -2.1419 6.6244
! magnetization: 0.0 μB per cell
! total DFT energy (no corrections): -5.515 eV per atom
! V: 23.67 Å³ per atom
! density: 7.74 g/cm³
! E_form (uncorrected): -40.29 kcal/mol of atoms

---

8.
! Ca3ErSe4 | Alexandria via LeMat-Bulk | PBE | optimized geometry; values from VASP
&SYSTEM
  ibrav = 0, nat = 8, ntyp = 3
/
ATOMIC_SPECIES
Ca 40.08 Ca.upf
Er 167.26 Er.upf
Se 78.96 Se.upf
ATOMIC_POSITIONS angstrom
Ca -2.1407 0.8401 2.7724
Er -1.1148 -1.7131 -0.3417
Se 1.9672 -4.3450 2.7991
Se 0.9083 -1.7841 5.9820
Se 0.2916 -0.5727 1.9203
Se -2.9968 -1.4380 4.4199
Ca 2.7407 -2.0185 1.1787
Ca -0.5148 -2.8915 3.6095
CELL_PARAMETERS angstrom
-2.2295 -3.4262 -0.6833
5.4813 -4.0370 2.3574
-4.2814 1.6802 5.5449
! magnetization: 0.0 μB per cell
! total DFT energy (no corrections): -4.999 eV per atom
! V: 25.37 Å³ per atom
! density: 4.94 g/cm³
! E_form (uncorrected): -44.63 kcal/mol of atoms

---

9.
! Ca5ErSe6 | Alexandria via LeMat-Bulk | PBE | optimized geometry; values from VASP
&SYSTEM
  ibrav = 0, nat = 12, ntyp = 3
/
ATOMIC_SPECIES
Se 78.96 Se.upf
Ca 40.08 Ca.upf
Er 167.26 Er.upf
ATOMIC_POSITIONS angstrom
Se -4.7075 -9.3995 -1.8692
Ca -3.7661 -7.5372 -4.0213
Se -2.7561 -5.6591 -1.9864
Ca -1.8757 -3.8053 -4.1028
Se -0.9222 -1.8557 -2.0136
Ca -1.8694 -3.7289 0.0691
Ca -3.7479 -7.4591 0.1435
Se -6.4404 -6.1831 -4.0491
Ca -5.4304 -4.3050 -2.0142
Se -2.8291 -5.7549 -6.1919
Se -4.4890 -2.4427 -4.1663
Er 0.0000 0.0000 0.0000
CELL_PARAMETERS angstrom
-3.5792 -0.6542 -6.2481
-0.1722 -6.9565 -1.9574
-5.4452 -4.2316 2.1700
! magnetization: 0.0 μB per cell
! total DFT energy (no corrections): -4.922 eV per atom
! V: 25.71 Å³ per atom
! density: 4.53 g/cm³
! E_form (uncorrected): -45.33 kcal/mol of atoms

---

10.
! Ca4ErSe5 | Alexandria via LeMat-Bulk | PBE | optimized geometry; values from VASP
&SYSTEM
  ibrav = 0, nat = 10, ntyp = 3
/
ATOMIC_SPECIES
Se 78.96 Se.upf
Er 167.26 Er.upf
Ca 40.08 Ca.upf
ATOMIC_POSITIONS angstrom
Se -4.2251 2.6563 -1.2365
Er -0.0003 0.0048 -0.0047
Ca -3.2656 7.6369 -0.4754
Se -5.8415 6.5426 -1.4032
Se -0.1376 2.0863 -2.0798
Ca -1.6533 3.8196 -0.2392
Se -1.7396 5.8700 -2.3493
Ca -5.9278 8.5925 -3.5128
Ca -4.3155 4.7752 -3.2766
Se -3.3561 9.7563 -2.5161
CELL_PARAMETERS angstrom
-0.2746 4.1631 -4.1500
-6.7024 1.5348 -2.1890
-0.6035 6.7061 2.5950
! magnetization: 0.0 μB per cell
! total DFT energy (no corrections): -4.949 eV per atom
! V: 25.55 Å³ per atom
! density: 4.70 g/cm³
! E_form (uncorrected): -44.96 kcal/mol of atoms

---

11.
! Ca2Er3Se6 | Alexandria via LeMat-Bulk | PBE | optimized geometry; values from VASP
&SYSTEM
  ibrav = 0, nat = 11, ntyp = 3
/
ATOMIC_SPECIES
Se 78.96 Se.upf
Er 167.26 Er.upf
Ca 40.08 Ca.upf
ATOMIC_POSITIONS angstrom
Se 5.2675 4.0637 6.9970
Se 5.1726 2.0400 3.2396
Er 0.0000 0.0000 0.0000
Ca 6.9103 2.0392 5.6210
Se 8.5531 4.0637 4.2450
Er 3.3805 2.0215 1.0054
Ca 3.5298 4.0646 4.6156
Se 1.8870 2.0400 5.9916
Er 6.7609 4.0822 2.0109
Se 1.7814 0.0000 2.2401
Se 5.2783 0.0000 6.9911
CELL_PARAMETERS angstrom
6.7609 0.0000 2.0109
3.3805 6.1038 1.0054
0.2988 0.0000 7.2203
! magnetization: 0.0 μB per cell
! total DFT energy (no corrections): -5.431 eV per atom
! V: 26.75 Å³ per atom
! density: 5.96 g/cm³
! E_form (uncorrected): -44.31 kcal/mol of atoms

---

12.
! Ca6ErSe8 | Alexandria via LeMat-Bulk | PBE | optimized geometry; values from VASP
&SYSTEM
  ibrav = 0, nat = 15, ntyp = 3
/
ATOMIC_SPECIES
Ca 40.08 Ca.upf
Se 78.96 Se.upf
Er 167.26 Er.upf
ATOMIC_POSITIONS angstrom
Ca 1.2120 3.4280 2.0992
Se 3.5892 5.2081 10.5770
Se 3.5892 5.2081 6.2166
Se 6.1066 1.6479 6.2166
Ca 3.6359 0.0000 2.0992
Se 2.4239 1.7140 4.1984
Se 6.1066 1.6479 10.5770
Er 0.0000 0.0000 0.0000
Ca 0.0000 0.0000 4.1984
Ca 1.2120 3.4280 6.2976
Se 7.2718 5.1420 12.5952
Se 2.3305 1.6479 8.3968
Ca 4.8479 3.4280 4.1984
Ca 3.6359 0.0000 6.2976
Se 7.3653 5.2081 8.3968
CELL_PARAMETERS angstrom
7.2718 0.0000 4.1984
2.4239 6.8560 4.1984
0.0000 0.0000 8.3968
! magnetization: 0.0 μB per cell
! total DFT energy (no corrections): -4.840 eV per atom
! V: 27.91 Å³ per atom
! density: 4.12 g/cm³
! E_form (uncorrected): -43.28 kcal/mol of atoms